CdMo after structural relaxation, computed with PBE.

Results
As for the electronic total energy: -5.479 eV/atom. The formation energy is 0.39 eV/atom.

Cell: 3.285 4.884 9.309 Å, 90.00 90.00 90.00°
Space group Imma (No. 74)
One atom of each set of equivalent atoms:
Cd1 0.000 0.250 0.118 x4
Mo1 0.000 0.250 0.652 x4



CdMo after structural relaxation, computed with PBE.

Results
As for the electronic total energy: -3.512 eV/atom. The formation energy is 2.36 eV/atom.

Cell: 6.446 6.446 6.446 Å, 90.00 90.00 90.00°
Space group F-43m (No. 216)
One atom of each set of equivalent atoms:
Cd1 0.000 0.000 0.000 x4
Mo1 0.250 0.250 0.750 x4



CdMo after structural relaxation, computed with PBE.

Results
As for the electronic total energy: -4.372 eV/atom. The formation energy is 1.50 eV/atom.

Cell: 5.477 5.477 5.477 Å, 90.00 90.00 90.00°
Space group Fm-3m (No. 225)
One atom of each set of equivalent atoms:
Cd1 0.000 0.000 0.000 x4
Mo1 0.000 0.000 0.500 x4



CdMo after structural relaxation, computed with PBE.

Results
As for the electronic total energy: -5.390 eV/atom. The formation energy is 0.48 eV/atom.

Cell: 8.4898 8.4898 3.8435 Å, 90.00 90.00 120.00°
Space group P6_3/mmc (No. 194)
One atom of each set of equivalent atoms:
Cd1 0.1587 0.3173 0.2500 x6
Mo1 0.1132 0.5566 0.7500 x6



Cd2Mo after structural relaxation, computed with PBE.

Results
As for the electronic total energy: -2.909 eV/atom. The formation energy is 1.31 eV/atom.

Cell: 6.783 6.783 6.783 Å, 90.00 90.00 90.00°
Space group Pa-3 (No. 205)
One atom of each set of equivalent atoms:
Cd1 0.133 0.133 0.133 x8
Mo1 0.000 0.000 0.500 x4



Cd2Mo after structural relaxation, computed with PBE.

Results
As for the electronic total energy: -3.745 eV/atom. The formation energy is 0.48 eV/atom.

Cell: 7.201 7.201 4.936 Å, 90.00 90.00 90.00°
Space group I4/mcm (No. 140)
One atom of each set of equivalent atoms:
Cd1 0.168 0.332 0.000 x8
Mo1 0.000 0.000 0.250 x4



CdMo after structural relaxation, computed with PBE.

Results
As for the electronic total energy: -5.504 eV/atom. The formation energy is 0.37 eV/atom.

Cell: 2.830 4.343 6.014 Å, 90.00 99.05 90.00°
Space group P2_1/m (No. 11)
One atom of each set of equivalent atoms:
Cd1 0.234 0.250 0.373 x2
Mo1 0.328 0.250 0.903 x2



CdMo after structural relaxation, computed with PBE.

Results
As for the electronic total energy: -5.435 eV/atom. The formation energy is 0.44 eV/atom.

Cell: 4.740 2.803 5.401 Å, 90.00 90.00 90.00°
Space group Pmma (No. 51)
One atom of each set of equivalent atoms:
Cd1 0.250 0.000 0.139 x2
Mo1 0.250 0.500 0.618 x2



CdMo2 after structural relaxation, computed with PBE.

Results
As for the electronic total energy: -7.193 eV/atom. The formation energy is 0.33 eV/atom.

Cell: 4.6370 4.6370 2.7439 Å, 90.00 90.00 120.00°
Space group P-3m1 (No. 164)
One atom of each set of equivalent atoms:
Cd1 0.0000 0.0000 0.0000 x1
Mo1 0.3333 0.6667 0.3818 x2



CdMo after structural relaxation, computed with PBE.

Results
As for the electronic total energy: -4.345 eV/atom. The formation energy is 1.53 eV/atom.

Cell: 4.0342 4.0342 5.8846 Å, 90.00 90.00 120.00°
Space group P6_3/mmc (No. 194)
One atom of each set of equivalent atoms:
Cd1 0.0000 0.0000 0.0000 x2
Mo1 0.3333 0.6667 0.2500 x2



CdMo5 after structural relaxation, computed with PBE.

Results
As for the electronic total energy: -8.739 eV/atom. The formation energy is 0.44 eV/atom.

Cell: 10.818 2.646 7.176 Å, 90.00 103.89 90.00°
Space group Cm (No. 8)
One atom of each set of equivalent atoms:
Cd1 0.000 0.000 0.000 x2
Mo1 0.063 0.000 0.632 x2
Mo2 0.164 0.500 0.335 x2
Mo3 0.232 0.500 0.959 x2
Mo4 0.332 0.000 0.659 x2
Mo5 0.399 0.000 0.299 x2



Cd8Mo after structural relaxation, computed with PBE.

Results
As for the electronic total energy: -1.794 eV/atom. The formation energy is 0.22 eV/atom.

Cell: 9.250 9.250 4.431 Å, 90.00 90.00 90.00°
Space group I4/mmm (No. 139)
One atom of each set of equivalent atoms:
Cd1 0.000 0.330 0.000 x8
Cd2 0.163 0.163 0.500 x8
Mo1 0.000 0.000 0.000 x2



Cd2Mo after structural relaxation, computed with PBE.

Results
As for the electronic total energy: -3.589 eV/atom. The formation energy is 0.63 eV/atom.

Cell: 8.6019 8.6019 2.7335 Å, 90.00 90.00 120.00°
Space group P-62m (No. 189)
One atom of each set of equivalent atoms:
Cd1 0.0000 0.2983 0.0000 x3
Cd2 0.0000 0.6239 0.5000 x3
Mo1 0.0000 0.0000 0.5000 x1
Mo2 0.3333 0.6667 0.0000 x2



CdMoN3 after structural relaxation, computed with PBE.

Results
As for the electronic total energy: -6.704 eV/atom. As for the formation energy from raw total energies: 309 kJ/mol of formula units.

Cell: 3.971 3.971 3.971 Å, 90.00 90.00 90.00°
Space group Pm-3m (No. 221)
One atom of each set of equivalent atoms:
Cd1 0.000 0.000 0.000 x1
Mo1 0.500 0.500 0.500 x1
N1 0.000 0.500 0.500 x3



CdMo2N2 after structural relaxation, computed with PBE.

Results
As for the electronic total energy: -7.214 eV/atom. As for the formation energy from raw total energies: 305 kJ/mol of formula units.

Cell: 6.645 6.645 2.754 Å, 90.00 90.00 90.00°
Space group P4/mbm (No. 127)
One atom of each set of equivalent atoms:
Cd1 0.000 0.000 0.000 x2
Mo1 0.142 0.358 0.500 x4
N1 0.128 0.628 0.000 x4



CdMo3N after structural relaxation, computed with PBE.

Results
As for the electronic total energy: -4.598 eV/atom. As for the formation energy from raw total energies: 1809 kJ/mol of formula units.

Cell: 4.872 4.872 4.872 Å, 90.00 90.00 90.00°
Space group Pm-3m (No. 221)
One atom of each set of equivalent atoms:
Cd1 0.000 0.000 0.000 x1
Mo1 0.000 0.000 0.500 x3
N1 0.500 0.500 0.500 x1



CdMo3N after structural relaxation, computed with PBE.

Results
As for the electronic total energy: -8.306 eV/atom. As for the formation energy from raw total energies: 20 kJ/mol of formula units.

Cell: 4.181 4.181 4.181 Å, 90.00 90.00 90.00°
Space group Pm-3m (No. 221)
One atom of each set of equivalent atoms:
Cd1 0.000 0.000 0.000 x1
Mo1 0.000 0.500 0.500 x3
N1 0.500 0.500 0.500 x1



CdMoN3 after structural relaxation, computed with PBE.

Results
As for the electronic total energy: -4.848 eV/atom. As for the formation energy from raw total energies: 1204 kJ/mol of formula units.

Cell: 4.046 4.046 4.046 Å, 90.00 90.00 90.00°
Space group Pm-3m (No. 221)
One atom of each set of equivalent atoms:
Cd1 0.000 0.000 0.000 x1
Mo1 0.500 0.500 0.500 x1
N1 0.000 0.000 0.500 x3



CdMo2N2 after structural relaxation, computed with PBE.

Results
As for the electronic total energy: -7.643 eV/atom. As for the formation energy from raw total energies: 98 kJ/mol of formula units.

Cell: 3.931 3.931 9.934 Å, 90.00 90.00 90.00°
Space group I4/mmm (No. 139)
One atom of each set of equivalent atoms:
Cd1 0.000 0.000 0.000 x2
Mo1 0.000 0.500 0.250 x4
N1 0.000 0.000 0.316 x4



NbCdMoN2 after structural relaxation, computed with PBE.

Results
As for the electronic total energy: -5.067 eV/atom. As for the formation energy from raw total energies: 1267 kJ/mol of formula units.

Cell: 4.014 4.014 5.366 Å, 90.00 90.00 90.00°
Space group P4/mmm (No. 123)
One atom of each set of equivalent atoms:
Nb1 0.000 0.000 0.000 x1
Cd1 0.000 0.000 0.500 x1
Mo1 0.500 0.500 0.000 x1
N1 0.000 0.500 0.500 x2